Below is a relaxed Fe2TePt crystal, with properties calculated at the PBE level.

Lattice parameters (Å, degrees): 4.516 4.516 4.822 78.38 78.38 42.04
Fractional coordinates of all 4 atoms:
Te1 0.745 0.745 0.775
Fe1 0.988 0.988 0.029
Fe2 0.257 0.257 0.226
Pt1 0.510 0.510 0.469

Results
Crystal system ... monoclinic
Calculated total energy ... -6.34 eV per atom
Formation energy from raw total energies ... 190 meV per atom
Density of states at the Fermi level ... 0.85 states/eV per atom


Below is a relaxed SeS crystal, with properties calculated at the PBE level.

Lattice parameters (Å, degrees): 12.491 12.491 3.208 90.00 90.00 90.00
Fractional coordinates of all 16 atoms:
S1 0.607 0.254 0.000
S2 0.107 0.754 0.500
S3 0.254 0.393 0.000
S4 0.393 0.746 0.000
S5 0.746 0.607 0.000
S6 0.754 0.893 0.500
S7 0.246 0.107 0.500
S8 0.893 0.246 0.500
Se1 0.058 0.253 0.500
Se2 0.247 0.558 0.000
Se3 0.253 0.942 0.500
Se4 0.442 0.247 0.000
Se5 0.558 0.753 0.000
Se6 0.747 0.058 0.500
Se7 0.942 0.747 0.500
Se8 0.753 0.442 0.000

Results
Crystal system ... tetragonal
Calculated total energy ... -3.49 eV per atom
Formation energy from raw total energies ... 317 meV per atom
Density of states at the Fermi level ... 0.51 states/eV per atom


Below is a relaxed Th4PaGe5 crystal, with properties calculated at the PBE level.

Lattice parameters (Å, degrees): 6.042 7.399 7.399 80.40 65.90 65.90
Fractional coordinates of all 10 atoms:
Th1 0.403 0.399 0.797
Th2 0.599 0.601 0.203
Th3 0.802 0.797 0.601
Th4 0.200 0.203 0.399
Ge1 0.292 0.806 0.612
Ge2 0.710 0.194 0.388
Ge3 0.098 0.612 0.194
Ge4 0.501 0.000 0.000
Ge5 0.904 0.388 0.806
Pa1 0.001 0.000 0.000

Results
Crystal system ... tetragonal
Calculated total energy ... -6.93 eV per atom
Density of states at the Fermi level ... 0.49 states/eV per atom
ΔH_f (0 K) ... -0.703 eV per atom


Below is a relaxed Ba2SnPd2 crystal, with properties calculated at the PBE level.

Lattice parameters (Å, degrees): 3.909 3.909 10.426 79.20 79.20 90.00
Fractional coordinates of all 5 atoms:
Ba1 0.379 0.379 0.242
Ba2 0.621 0.621 0.758
Pd1 0.750 0.250 0.500
Pd2 0.250 0.750 0.500
Sn1 0.000 0.000 0.000

Results
Crystal system ... tetragonal
Calculated total energy ... -4.05 eV per atom
Density of states at the Fermi level ... 0.54 states/eV per atom
ΔH_f (0 K) ... -0.399 eV per atom


Below is a relaxed CdGe3Pd crystal, with properties calculated at the PBE level.

Lattice parameters (Å, degrees): 4.899 4.899 4.899 90.00 90.00 90.00
Fractional coordinates of all 5 atoms:
Ge1 0.500 0.000 0.000
Ge2 0.000 0.000 0.500
Ge3 0.000 0.500 0.000
Cd1 0.500 0.500 0.500
Pd1 0.000 0.000 0.000

Results
Crystal system ... cubic
Calculated total energy ... -3.71 eV per atom
Density of states at the Fermi level ... 0.26 states/eV per atom
ΔH_f (0 K) ... 0.285 eV per atom


Below is a relaxed BaMgBe crystal, with properties calculated at the PBE level.

Lattice parameters (Å, degrees): 11.438 7.178 4.259 90.00 90.00 90.00
Fractional coordinates of all 12 atoms:
Be1 0.250 0.749 0.287
Be2 0.250 0.751 0.787
Be3 0.750 0.249 0.787
Be4 0.750 0.251 0.287
Mg1 0.250 0.412 0.546
Mg2 0.750 0.912 0.046
Mg3 0.250 0.088 0.046
Mg4 0.750 0.588 0.546
Ba1 0.000 0.500 0.044
Ba2 0.500 0.000 0.544
Ba3 0.000 0.000 0.544
Ba4 0.500 0.500 0.044

Results
Crystal system ... orthorhombic
Calculated total energy ... -2.17 eV per atom
Density of states at the Fermi level ... 0.96 states/eV per atom
ΔH_f (0 K) ... 0.247 eV per atom


Below is a relaxed Tm8ReSn2 crystal, with properties calculated at the PBE level.

Lattice parameters (Å, degrees): 5.369 6.945 8.980 112.69 107.39 90.00
Fractional coordinates of all 11 atoms:
Tm1 0.627 0.392 0.254
Tm2 0.629 0.869 0.258
Tm3 0.373 0.608 0.746
Tm4 0.188 0.191 0.376
Tm5 0.001 0.760 0.001
Tm6 0.812 0.809 0.624
Tm7 0.371 0.131 0.742
Tm8 0.999 0.240 0.999
Re1 0.500 0.000 0.000
Sn1 0.187 0.687 0.375
Sn2 0.813 0.313 0.625

Results
Crystal system ... monoclinic
Calculated total energy ... -5.38 eV per atom
Density of states at the Fermi level ... 1.07 states/eV per atom
ΔH_f (0 K) ... -0.269 eV per atom


Below is a relaxed CaPtIO2 crystal, with properties calculated at the PBE level.

Lattice parameters (Å, degrees): 4.249 4.249 5.323 90.00 90.00 90.00
Fractional coordinates of all 5 atoms:
O1 0.000 0.500 0.000
O2 0.500 0.000 0.000
Ca1 0.500 0.500 0.500
Pt1 0.000 0.000 0.000
I1 0.000 0.000 0.500

Results
Crystal system ... tetragonal
Calculated total energy ... -4.41 eV per atom
Formation energy from raw total energies ... -511 meV per atom
Density of states at the Fermi level ... 0.96 states/eV per atom


Below is a relaxed Pm5DySc2 crystal, with properties calculated at the PBE level.

Lattice parameters (Å, degrees): 9.808 6.477 10.723 118.60 117.21 90.00
Fractional coordinates of all 16 atoms:
Pm1 0.889 0.614 0.600
Pm2 0.941 0.750 0.000
Pm3 0.500 0.555 0.188
Pm4 0.111 0.386 0.400
Pm5 0.059 0.250 0.000
Pm6 0.289 0.886 0.400
Pm7 0.500 0.445 0.812
Pm8 0.311 0.945 0.812
Pm9 0.711 0.114 0.600
Pm10 0.689 0.055 0.188
Dy1 0.000 0.000 0.500
Dy2 0.500 0.500 0.500
Sc1 0.822 0.517 0.154
Sc2 0.669 0.983 0.846
Sc3 0.331 0.017 0.154
Sc4 0.178 0.483 0.846

Results
Crystal system ... monoclinic
Calculated total energy ... -4.99 eV per atom
Density of states at the Fermi level ... 1.69 states/eV per atom
ΔH_f (0 K) ... 0.135 eV per atom


Below is a relaxed Bi2H5Ru crystal, with properties calculated at the PBE level.

Lattice parameters (Å, degrees): 4.971 4.971 5.852 115.09 115.11 90.00
Fractional coordinates of all 8 atoms:
Bi1 0.771 0.271 0.542
Bi2 0.271 0.771 0.542
Ru1 0.927 0.927 0.854
H1 0.753 0.753 0.506
H2 0.811 0.217 0.028
H3 0.217 0.811 0.028
H4 0.217 0.217 0.028
H5 0.811 0.811 0.028

Results
Crystal system ... tetragonal
Calculated total energy ... -3.99 eV per atom
Density of states at the Fermi level ... 0.20 states/eV per atom


Below is a relaxed Tb2Ce3TmN6 crystal, with properties calculated at the PBE level.

Lattice parameters (Å, degrees): 6.090 6.090 6.095 99.59 99.59 119.99
Fractional coordinates of all 12 atoms:
N1 0.589 0.918 0.753
N2 0.245 0.245 0.752
N3 0.411 0.082 0.247
N4 0.082 0.411 0.247
N5 0.918 0.589 0.753
N6 0.755 0.755 0.248
Tm1 0.000 0.000 0.000
Tb1 0.667 0.333 0.000
Tb2 0.333 0.667 0.000
Ce1 0.833 0.167 0.500
Ce2 0.167 0.833 0.500
Ce3 0.500 0.500 0.500

Results
Crystal system ... monoclinic
Calculated total energy ... -8.39 eV per atom
Formation energy from raw total energies ... -1597 meV per atom
Density of states at the Fermi level ... 0.60 states/eV per atom


Below is a relaxed AgGe2I8 crystal, with properties calculated at the PBE level.

Lattice parameters (Å, degrees): 7.156 8.904 8.904 79.58 82.89 82.89
Fractional coordinates of all 11 atoms:
I1 0.858 0.610 0.610
I2 0.142 0.390 0.390
I3 0.681 0.192 0.192
I4 0.204 0.288 0.925
I5 0.796 0.712 0.075
I6 0.204 0.925 0.288
I7 0.319 0.808 0.808
I8 0.796 0.075 0.712
Ag1 0.000 0.000 0.000
Ge1 0.312 0.204 0.204
Ge2 0.688 0.796 0.796

Results
Crystal system ... monoclinic
Calculated total energy ... -2.43 eV per atom
Formation energy from raw total energies ... -204 meV per atom
Density of states at the Fermi level ... 0.47 states/eV per atom


no.,total magnetic moment (μB per atom)
1,1.3372
2,0.0000
3,0.0000
4,0.0000
5,0.0000
6,0.0000
7,0.0002
8,0.1297
9,0.0001
10,0.0000
11,0.0653
12,0.0000